{"formula": "CsGe3Bi", "functional": "PBE", "state": "relaxed", "volume_a3_per_atom": 37.625, "polymorph_energy_mev_per_atom": 993, "rho_g_cm3": 4.9, "m_tot_mub_per_cell": 0.00, "formation_energy_mev_per_atom": 1701.1, "spacegroup": "Pm-3m, No. 221", "dos_at_fermi_per_ev_atom": 0.999, "lattice_angstrom": [[5.730, 0.000, 0.000], [0.000, 5.730, 0.000], [0.000, 0.000, 5.730]], "species": ["Cs", "Ge", "Ge", "Ge", "Bi"], "fractional_positions": [[0.000, 0.000, 0.000], [0.000, 0.500, 0.000], [0.000, 0.000, 0.500], [0.500, 0.000, 0.000], [0.500, 0.500, 0.500]]}

=====

{"formula": "Th2AsAu", "functional": "PBE", "state": "relaxed", "volume_a3_per_atom": 24.955, "rho_g_cm3": 12.2, "m_tot_mub_per_cell": 0.00, "formation_energy_mev_per_atom": -797.7, "spacegroup": "P4/mmm, No. 123", "dos_at_fermi_per_ev_atom": 1.016, "lattice_angstrom": [[-0.598, 2.525, 2.534], [0.872, -2.389, 2.586], [7.260, 2.166, -0.446]], "species": ["As", "Au", "Th", "Th"], "fractional_positions": [[0.500, 0.500, 0.000], [0.500, 0.500, 0.500], [0.000, 0.000, 0.763], [0.000, 0.000, 0.237]]}

=====

{"formula": "CsNaUN3", "functional": "PBE", "state": "relaxed", "volume_a3_per_atom": 20.580, "rho_g_cm3": 5.9, "m_tot_mub_per_cell": 0.00, "spacegroup": "C2/c, No. 15", "e_form_raw_mev_per_atom": -478, "dos_at_fermi_per_ev_atom": 0.675, "lattice_angstrom": [[6.296, -0.526, 0.000], [0.675, 6.365, 0.000], [0.337, 3.182, 6.109]], "species": ["Cs", "Cs", "Na", "Na", "U", "U", "N", "N", "N", "N", "N", "N"], "fractional_positions": [[0.250, 0.263, 0.474], [0.750, 0.737, 0.526], [0.250, 0.577, 0.846], [0.750, 0.423, 0.154], [0.750, 0.054, 0.892], [0.250, 0.946, 0.108], [0.528, 0.815, 0.956], [0.972, 0.229, 0.956], [0.750, 0.214, 0.572], [0.472, 0.185, 0.044], [0.028, 0.771, 0.044], [0.250, 0.786, 0.428]]}

=====

{"formula": "Cd2OsRu", "functional": "PBE", "state": "relaxed", "volume_a3_per_atom": 16.738, "polymorph_energy_mev_per_atom": 371, "rho_g_cm3": 12.8, "m_tot_mub_per_cell": 0.89, "formation_energy_mev_per_atom": 543.2, "spacegroup": "R-3m, No. 166", "dos_at_fermi_per_ev_atom": 0.880, "lattice_angstrom": [[9.636, 0.010, 0.006], [9.210, 2.832, 0.006], [9.210, 1.389, 2.468]], "species": ["Cd", "Cd", "Os", "Ru"], "fractional_positions": [[0.001, 0.001, 0.001], [0.499, 0.499, 0.499], [0.250, 0.250, 0.250], [0.750, 0.750, 0.750]]}

=====

{"formula": "ThPaZnAg", "functional": "PBE", "state": "relaxed", "volume_a3_per_atom": 24.179, "rho_g_cm3": 10.9, "m_tot_mub_per_cell": 0.70, "formation_energy_mev_per_atom": 154.2, "spacegroup": "F-43m, No. 216", "dos_at_fermi_per_ev_atom": 1.856, "lattice_angstrom": [[-1.038, 3.182, -3.917], [-4.889, 0.995, -1.285], [-2.010, 4.653, 0.924]], "species": ["Zn", "Pa", "Ag", "Th"], "fractional_positions": [[0.250, 0.250, 0.250], [0.000, 0.000, 0.000], [0.750, 0.750, 0.750], [0.500, 0.500, 0.500]]}

=====

{"formula": "Nd6Y4Ho", "functional": "PBE", "state": "relaxed", "volume_a3_per_atom": 35.083, "polymorph_energy_mev_per_atom": 194, "rho_g_cm3": 6.0, "m_tot_mub_per_cell": 0.00, "formation_energy_mev_per_atom": 306.1, "spacegroup": "I-42m, No. 121", "dos_at_fermi_per_ev_atom": 1.471, "lattice_angstrom": [[-0.079, 2.937, 6.165], [5.842, -3.163, 1.582], [1.403, 6.524, -6.873]], "species": ["Nd", "Nd", "Nd", "Nd", "Nd", "Nd", "Y", "Y", "Y", "Y", "Ho"], "fractional_positions": [[0.867, 0.486, 0.353], [0.486, 0.867, 0.353], [0.514, 0.514, 0.647], [0.000, 0.500, 0.000], [0.133, 0.133, 0.647], [0.500, 0.000, 0.000], [0.060, 0.709, 0.769], [0.940, 0.940, 0.231], [0.709, 0.060, 0.769], [0.291, 0.291, 0.231], [0.500, 0.500, 0.000]]}

=====

{"formula": "PmTm3Sn", "functional": "PBE", "state": "relaxed", "volume_a3_per_atom": 30.160, "rho_g_cm3": 8.5, "m_tot_mub_per_cell": 0.00, "formation_energy_mev_per_atom": -238.8, "spacegroup": "P2_1/c, No. 14", "dos_at_fermi_per_ev_atom": 1.053, "lattice_angstrom": [[8.639, 0.000, 0.000], [0.000, 8.441, -1.075], [0.000, -3.986, 8.780]], "species": ["Pm", "Pm", "Pm", "Pm", "Tm", "Tm", "Tm", "Tm", "Tm", "Tm", "Tm", "Tm", "Tm", "Tm", "Tm", "Tm", "Sn", "Sn", "Sn", "Sn"], "fractional_positions": [[0.932, 0.698, 0.296], [0.068, 0.302, 0.704], [0.432, 0.302, 0.204], [0.568, 0.698, 0.796], [0.100, 0.096, 0.296], [0.900, 0.904, 0.704], [0.600, 0.904, 0.204], [0.400, 0.096, 0.796], [0.565, 0.739, 0.463], [0.435, 0.261, 0.537], [0.065, 0.261, 0.037], [0.935, 0.739, 0.963], [0.196, 0.596, 0.553], [0.804, 0.404, 0.447], [0.696, 0.404, 0.947], [0.304, 0.596, 0.053], [0.251, 0.898, 0.451], [0.749, 0.102, 0.549], [0.751, 0.102, 0.049], [0.249, 0.898, 0.951]]}

=====

{"formula": "Ac3TmS6", "functional": "PBE", "state": "relaxed", "volume_a3_per_atom": 31.032, "polymorph_energy_mev_per_atom": 0, "rho_g_cm3": 5.6, "m_tot_mub_per_cell": 0.00, "spacegroup": "R-3, No. 148", "e_form_raw_mev_per_atom": -2152, "dos_at_fermi_per_ev_atom": 0.000, "lattice_angstrom": [[-5.719, -3.042, -5.560], [3.118, -7.790, 1.569], [-5.523, -0.538, 6.488]], "species": ["Ac", "Ac", "Ac", "Ac", "Ac", "Ac", "Tm", "Tm", "S", "S", "S", "S", "S", "S", "S", "S", "S", "S", "S", "S"], "fractional_positions": [[0.430, 0.923, 0.747], [0.923, 0.747, 0.430], [0.253, 0.570, 0.077], [0.747, 0.430, 0.923], [0.077, 0.253, 0.570], [0.570, 0.077, 0.253], [0.000, 0.000, 0.000], [0.500, 0.500, 0.500], [0.302, 0.921, 0.072], [0.079, 0.928, 0.698], [0.584, 0.803, 0.456], [0.928, 0.698, 0.079], [0.456, 0.584, 0.803], [0.197, 0.544, 0.416], [0.803, 0.456, 0.584], [0.544, 0.416, 0.197], [0.072, 0.302, 0.921], [0.416, 0.197, 0.544], [0.921, 0.072, 0.302], [0.698, 0.079, 0.928]]}

=====

{"formula": "Nd6Te5Au", "functional": "PBE", "state": "relaxed", "volume_a3_per_atom": 31.767, "rho_g_cm3": 7.4, "m_tot_mub_per_cell": 0.00, "spacegroup": "C2/m, No. 12", "e_form_raw_mev_per_atom": -1343, "dos_at_fermi_per_ev_atom": 0.397, "lattice_angstrom": [[7.619, -0.109, -1.433], [-4.108, 6.417, -1.433], [0.143, 0.256, 7.752]], "species": ["Au", "Te", "Te", "Te", "Te", "Te", "Nd", "Nd", "Nd", "Nd", "Nd", "Nd"], "fractional_positions": [[0.000, 0.000, 0.000], [0.826, 0.174, 0.500], [0.664, 0.336, 0.000], [0.500, 0.500, 0.500], [0.336, 0.664, 0.000], [0.174, 0.826, 0.500], [0.398, 0.078, 0.238], [0.922, 0.602, 0.762], [0.237, 0.237, 0.754], [0.763, 0.763, 0.246], [0.078, 0.398, 0.238], [0.602, 0.922, 0.762]]}

=====

{"formula": "PmDy12Er2", "functional": "PBE", "state": "relaxed", "volume_a3_per_atom": 31.915, "rho_g_cm3": 8.4, "m_tot_mub_per_cell": 0.00, "formation_energy_mev_per_atom": 113.2, "spacegroup": "P2/m, No. 10", "dos_at_fermi_per_ev_atom": 1.580, "lattice_angstrom": [[6.419, 1.451, 0.528], [1.451, 6.419, -0.528], [1.195, -1.195, 24.741]], "species": ["Pm", "Pm", "Dy", "Dy", "Dy", "Dy", "Dy", "Dy", "Dy", "Dy", "Dy", "Dy", "Dy", "Dy", "Dy", "Dy", "Dy", "Dy", "Dy", "Dy", "Dy", "Dy", "Dy", "Dy", "Dy", "Dy", "Er", "Er", "Er", "Er"], "fractional_positions": [[0.500, 0.000, 0.000], [0.000, 0.500, 0.000], [0.402, 0.598, 0.798], [0.902, 0.098, 0.798], [0.604, 0.896, 0.861], [0.056, 0.944, 0.925], [0.003, 0.997, 0.330], [0.444, 0.556, 0.075], [0.832, 0.168, 0.555], [0.503, 0.497, 0.330], [0.104, 0.396, 0.861], [0.896, 0.604, 0.139], [0.317, 0.183, 0.575], [0.668, 0.332, 0.445], [0.997, 0.003, 0.670], [0.183, 0.317, 0.425], [0.396, 0.104, 0.139], [0.683, 0.817, 0.425], [0.817, 0.683, 0.575], [0.098, 0.902, 0.202], [0.332, 0.668, 0.555], [0.497, 0.503, 0.670], [0.556, 0.444, 0.925], [0.598, 0.402, 0.202], [0.168, 0.832, 0.445], [0.944, 0.056, 0.075], [0.546, 0.954, 0.272], [0.046, 0.454, 0.272], [0.954, 0.546, 0.728], [0.454, 0.046, 0.728]]}

=====

{"formula": "AcHgI6", "functional": "PBE", "state": "relaxed", "volume_a3_per_atom": 46.572, "rho_g_cm3": 5.3, "m_tot_mub_per_cell": 0.00, "spacegroup": "P-1, No. 2", "e_form_raw_mev_per_atom": -731, "dos_at_fermi_per_ev_atom": 0.399, "lattice_angstrom": [[7.543, 0.063, -0.920], [3.770, 8.184, -0.807], [2.946, 2.402, 5.599]], "species": ["Ac", "Hg", "I", "I", "I", "I", "I", "I"], "fractional_positions": [[0.500, 0.500, 0.500], [0.000, 0.000, 0.000], [0.037, 0.484, 0.746], [0.764, 0.068, 0.729], [0.548, 0.257, 0.240], [0.236, 0.932, 0.271], [0.963, 0.516, 0.254], [0.452, 0.743, 0.760]]}

=====

{"formula": "BaCaLa2Pt", "functional": "PBE", "state": "relaxed", "volume_a3_per_atom": 42.510, "polymorph_energy_mev_per_atom": 90, "rho_g_cm3": 5.1, "m_tot_mub_per_cell": 0.00, "formation_energy_mev_per_atom": -347.8, "spacegroup": "P4/mmm, No. 123", "dos_at_fermi_per_ev_atom": 1.214, "lattice_angstrom": [[-4.591, 3.447, 0.130], [-3.216, -4.200, -2.236], [-1.400, -2.087, 5.934]], "species": ["Ca", "Ba", "Pt", "La", "La"], "fractional_positions": [[0.500, 0.500, 0.500], [0.000, 0.000, 0.500], [0.000, 0.000, 0.000], [0.000, 0.500, 0.000], [0.500, 0.000, 0.000]]}

=====

Which formula does entry 10 have?
PmDy12Er2

=====

Please write out number 12 again, unchanged.
{"formula": "BaCaLa2Pt", "functional": "PBE", "state": "relaxed", "volume_a3_per_atom": 42.510, "polymorph_energy_mev_per_atom": 90, "rho_g_cm3": 5.1, "m_tot_mub_per_cell": 0.00, "formation_energy_mev_per_atom": -347.8, "spacegroup": "P4/mmm, No. 123", "dos_at_fermi_per_ev_atom": 1.214, "lattice_angstrom": [[-4.591, 3.447, 0.130], [-3.216, -4.200, -2.236], [-1.400, -2.087, 5.934]], "species": ["Ca", "Ba", "Pt", "La", "La"], "fractional_positions": [[0.500, 0.500, 0.500], [0.000, 0.000, 0.500], [0.000, 0.000, 0.000], [0.000, 0.500, 0.000], [0.500, 0.000, 0.000]]}